1 | Compound: TaVIn
Source: Alexandria
Functional: PBE
Structure: optimized geometry

The value obtained for the density of states at the Fermi level is 3.9 states/eV/cell.

The structure belongs to space group I4mm (No. 107); the cell edges are 3.3559, 3.3559 and 9.5555 Å and the angles 90.00°, 90.00° and 90.00°. The asymmetric unit holds Ta at (0.0000, 0.0000, 0.0000), V at (0.0000, 0.0000, 0.3737) and In at (0.0000, 0.0000, 0.6926).

***

2 | Compound: TaVIn
Source: Alexandria
Functional: PBE
Structure: optimized geometry

The value obtained for the density of states at the Fermi level is 21.0 states/eV/cell.

The structure belongs to space group C2/m (No. 12); the cell edges are 20.6948, 3.0960 and 7.1451 Å and the angles 90.00°, 91.23° and 90.00°. The asymmetric unit holds Ta at (0.1009, 0.0000, 0.4541), Ta at (0.1698, 0.0000, 0.7863), V at (0.2045, 0.5000, 0.4504), V at (0.2280, 0.0000, 0.1652), In at (0.0202, 0.0000, 0.7843) and In at (0.1112, 0.5000, 0.1026).

***

Tell me which of them is the most stable. Sure, it is 1.